(1)
The following is a DFT calculation (GGA-PBE) of AcPm5As6 after structural relaxation.

Cell lengths 7.4397, 12.8822, 7.4381 Å; angles 90.00, 109.51, 90.00 degrees
Space group C2/m (No. 12)
Inequivalent atoms, fractional coordinates:
Ac1 0.0000 0.0000 0.0000
Pm1 0.0000 0.1653 0.5000
Pm2 0.0000 0.3328 0.0000
Pm3 0.0000 0.5000 0.5000
As1 0.2428 0.5000 0.2545
As2 0.2438 0.3291 0.7444

The crystal system is monoclinic. The value obtained for the total DFT energy (no corrections) is -6.15 eV per atom.


(2)
The following is a DFT calculation (GGA-PBE) of Sm8Ga3OsI4 after structural relaxation.

Cell lengths 8.5897, 8.5897, 23.2110 Å; angles 90.00, 90.00, 120.00 degrees
Space group R-3m (No. 166, hexagonal axes)
Inequivalent atoms, fractional coordinates:
Sm1 0.0000 0.0000 0.2371
Sm2 0.0175 0.5087 0.2314
Ga1 0.0000 0.5000 0.5000
Os1 0.0000 0.0000 0.5000
I1 0.0000 0.0000 0.0000
I2 0.0000 0.5000 0.0000

The crystal system is trigonal. The value obtained for the total DFT energy (no corrections) is -4.71 eV per atom. The calculation puts the uncorrected formation energy at -66.92 kJ/mol of atoms.


(3)
The following is a DFT calculation (GGA-PBE) of SnTe2Pt after structural relaxation.

Cell lengths 3.1640, 3.1640, 36.3338 Å; angles 90.00, 90.00, 120.00 degrees
Space group R-3m (No. 166, hexagonal axes)
Inequivalent atoms, fractional coordinates:
Sn1 0.0000 0.0000 0.0000
Te1 0.0000 0.0000 0.4282
Pt1 0.0000 0.0000 0.5000

The crystal system is trigonal. The value obtained for the total DFT energy (no corrections) is -3.90 eV per atom. The calculation puts the uncorrected formation energy at 17.29 kJ/mol of atoms.


(4)
The following is a DFT calculation (GGA-PBE) of AcMg2Cd4Ga after structural relaxation.

Cell lengths 4.9090, 4.9090, 28.8507 Å; angles 90.00, 90.00, 120.00 degrees
Space group R-3m (No. 166, hexagonal axes)
Inequivalent atoms, fractional coordinates:
Ac1 0.0000 0.0000 0.0000
Mg1 0.0000 0.0000 0.2417
Cd1 0.0000 0.0000 0.1290
Cd2 0.0000 0.0000 0.3995
Ga1 0.0000 0.0000 0.5000

The crystal system is trigonal. The value obtained for the total DFT energy (no corrections) is -1.90 eV per atom.


The lowest total DFT energy (no corrections) belongs to which entry? AcPm5As6


What is the formula in the third record? SnTe2Pt